The following is a PBE calculation of crystalline Li2VTc at its relaxed geometry, from Alexandria.

Structure (CIF):
```
data_Li2VTc
_chemical_formula_sum 'Li8 V4 Tc4'
_symmetry_space_group_name_H-M 'I -4 2 d'
_symmetry_Int_Tables_number 122
_symmetry_space_group_name_Hall 'I -4 2bw'
_cell_length_a 6.9199
_cell_length_b 6.9199
_cell_length_c 4.6687
_cell_angle_alpha 90.00
_cell_angle_beta 90.00
_cell_angle_gamma 90.00
loop_
_atom_site_label
_atom_site_type_symbol
_atom_site_fract_x
_atom_site_fract_y
_atom_site_fract_z
Li1 Li 0.2500 0.2499 0.3750
V1 V 0.0000 0.0000 0.0000
Tc1 Tc 0.0000 0.0000 0.5000
```

Properties
theoretical density = 4.84 g/cm3
distance to the lowest polymorph of the same formula = 0.021 eV per atom
D(E_F) = 0.603 states/eV per atom

---

The following is a PBE calculation of crystalline RbIn3Bi at its relaxed geometry, from Alexandria.

Structure (CIF):
```
data_RbIn3Bi
_chemical_formula_sum 'Rb1 In3 Bi1'
_symmetry_space_group_name_H-M 'P m -3 m'
_symmetry_Int_Tables_number 221
_symmetry_space_group_name_Hall '-P 4 2 3'
_cell_length_a 6.1416
_cell_length_b 6.1416
_cell_length_c 6.1416
_cell_angle_alpha 90.00
_cell_angle_beta 90.00
_cell_angle_gamma 90.00
loop_
_atom_site_label
_atom_site_type_symbol
_atom_site_fract_x
_atom_site_fract_y
_atom_site_fract_z
Rb1 Rb 0.0000 0.0000 0.0000
In1 In 0.0000 0.0000 0.5000
Bi1 Bi 0.5000 0.5000 0.5000
```

Properties
theoretical density = 4.58 g/cm3
distance to the lowest polymorph of the same formula = 1.061 eV per atom
D(E_F) = 0.700 states/eV per atom

---

The following is a PBE calculation of crystalline Li4Br3F at its relaxed geometry, from Alexandria.

Structure (CIF):
```
data_Li4Br3F
_chemical_formula_sum 'Li8 Br6 F2'
_symmetry_space_group_name_H-M 'P m n 21'
_symmetry_Int_Tables_number 31
_cell_length_a 7.7504
_cell_length_b 6.9007
_cell_length_c 6.2886
_cell_angle_alpha 90.00
_cell_angle_beta 90.00
_cell_angle_gamma 90.00
loop_
_symmetry_equiv_pos_as_xyz
'x,y,z'
'-x+1/2,-y,z+1/2'
'-x,y,z'
'x+1/2,-y,z+1/2'
loop_
_atom_site_label
_atom_site_type_symbol
_atom_site_fract_x
_atom_site_fract_y
_atom_site_fract_z
Li1 Li 0.0000 0.0961 0.9998
Li2 Li 0.0000 0.8208 0.5946
Li3 Li 0.2093 0.6913 0.0000
Br1 Br 0.0000 0.1440 0.4061
Br2 Br 0.2468 0.3312 0.9053
F1 F 0.0000 0.8259 0.9025
```

Properties
theoretical density = 2.83 g/cm3
distance to the lowest polymorph of the same formula = 0.000 eV per atom
ΔE_f (raw) = -1863 meV/atom
D(E_F) = 0.000 states/eV per atom

---

The following is a PBE calculation of crystalline MnBi2Pd at its relaxed geometry, from Alexandria.

Structure (CIF):
```
data_MnBi2Pd
_chemical_formula_sum 'Mn4 Bi8 Pd4'
_symmetry_space_group_name_H-M 'F m -3 m'
_symmetry_Int_Tables_number 225
_symmetry_space_group_name_Hall '-F 4 2 3'
_cell_length_a 7.0690
_cell_length_b 7.0690
_cell_length_c 7.0690
_cell_angle_alpha 90.00
_cell_angle_beta 90.00
_cell_angle_gamma 90.00
loop_
_atom_site_label
_atom_site_type_symbol
_atom_site_fract_x
_atom_site_fract_y
_atom_site_fract_z
Mn1 Mn 0.0000 0.0000 0.0000
Bi1 Bi 0.2500 0.2500 0.2500
Pd1 Pd 0.0000 0.0000 0.5000
```

Properties
theoretical density = 10.89 g/cm3
distance to the lowest polymorph of the same formula = 0.000 eV per atom
D(E_F) = 0.929 states/eV per atom

---

The following is a PBE calculation of crystalline Hf3Be3Co at its relaxed geometry, from Alexandria.

Structure (CIF):
```
data_Hf3Be3Co
_chemical_formula_sum 'Hf12 Be12 Co4'
_symmetry_space_group_name_H-M 'C 1 2/m 1'
_symmetry_Int_Tables_number 12
_cell_length_a 9.7808
_cell_length_b 3.5448
_cell_length_c 12.5650
_cell_angle_alpha 90.00
_cell_angle_beta 110.52
_cell_angle_gamma 90.00
loop_
_symmetry_equiv_pos_as_xyz
'x,y,z'
'-x,-y,-z'
'-x,y,-z'
'x,-y,z'
'x+1/2,y+1/2,z'
'-x+1/2,-y+1/2,-z'
'-x+1/2,y+1/2,-z'
'x+1/2,-y+1/2,z'
loop_
_atom_site_label
_atom_site_type_symbol
_atom_site_fract_x
_atom_site_fract_y
_atom_site_fract_z
Hf1 Hf 0.0269 0.0000 0.3773
Hf2 Hf 0.1121 0.0000 0.9220
Hf3 Hf 0.2469 0.0000 0.2322
Be1 Be 0.0436 0.5000 0.2308
Be2 Be 0.0997 0.5000 0.0772
Be3 Be 0.1302 0.5000 0.5425
Co1 Co 0.2392 0.5000 0.4092
```

Properties
theoretical density = 10.12 g/cm3
total energy = -7.08 eV/atom
D(E_F) = 0.986 states/eV per atom

---

The following is a PBE calculation of crystalline La5PmDy2 at its relaxed geometry, from Alexandria.

Structure (CIF):
```
data_La5PmDy2
_chemical_formula_sum 'La10 Pm2 Dy4'
_symmetry_space_group_name_H-M 'P b a m'
_symmetry_Int_Tables_number 55
_cell_length_a 7.3362
_cell_length_b 14.6783
_cell_length_c 5.2121
_cell_angle_alpha 90.00
_cell_angle_beta 90.00
_cell_angle_gamma 90.00
loop_
_symmetry_equiv_pos_as_xyz
'x,y,z'
'-x,-y,-z'
'-x,-y,z'
'x,y,-z'
'x+1/2,-y+1/2,-z'
'-x+1/2,y+1/2,z'
'-x+1/2,y+1/2,-z'
'x+1/2,-y+1/2,z'
loop_
_atom_site_label
_atom_site_type_symbol
_atom_site_fract_x
_atom_site_fract_y
_atom_site_fract_z
La1 La 0.0000 0.0000 0.0000
La2 La 0.0046 0.2510 0.0000
La3 La 0.2474 0.6243 0.5000
Pm1 Pm 0.0000 0.5000 0.0000
Dy1 Dy 0.2473 0.8756 0.5000
```

Properties
theoretical density = 6.89 g/cm3
distance to the lowest polymorph of the same formula = 0.000 eV per atom
D(E_F) = 1.392 states/eV per atom

---

The following is a PBE calculation of crystalline BaNd2SmSe4 at its relaxed geometry, from Alexandria.

Structure (CIF):
```
data_BaNd2SmSe4
_chemical_formula_sum 'Ba1 Nd2 Sm1 Se4'
_symmetry_space_group_name_H-M 'P 1 2/m 1'
_symmetry_Int_Tables_number 10
_cell_length_a 7.5013
_cell_length_b 4.2821
_cell_length_c 7.5168
_cell_angle_alpha 90.00
_cell_angle_beta 108.87
_cell_angle_gamma 90.00
loop_
_symmetry_equiv_pos_as_xyz
'x,y,z'
'-x,-y,-z'
'-x,y,-z'
'x,-y,z'
loop_
_atom_site_label
_atom_site_type_symbol
_atom_site_fract_x
_atom_site_fract_y
_atom_site_fract_z
Ba1 Ba 0.0000 0.0000 0.0000
Nd1 Nd 0.5000 0.0000 0.5000
Nd2 Nd 0.5000 0.5000 0.0000
Sm1 Sm 0.0000 0.5000 0.5000
Se1 Se 0.2539 0.0000 0.7389
Se2 Se 0.2643 0.5000 0.2682
```

Properties
theoretical density = 6.48 g/cm3
ΔE_f (raw) = -1831 meV/atom
D(E_F) = 0.418 states/eV per atom

---

The following is a PBE calculation of crystalline LiCa2Ir at its relaxed geometry, from Alexandria.

Structure (CIF):
```
data_LiCa2Ir
_chemical_formula_sum 'Li1 Ca2 Ir1'
_symmetry_space_group_name_H-M 'P 4 m m'
_symmetry_Int_Tables_number 99
_cell_length_a 3.4597
_cell_length_b 3.4597
_cell_length_c 7.8826
_cell_angle_alpha 90.00
_cell_angle_beta 90.00
_cell_angle_gamma 90.00
loop_
_symmetry_equiv_pos_as_xyz
'x,y,z'
'-y,x,z'
'-x,-y,z'
'y,-x,z'
'-x,y,z'
'y,x,z'
'x,-y,z'
'-y,-x,z'
loop_
_atom_site_label
_atom_site_type_symbol
_atom_site_fract_x
_atom_site_fract_y
_atom_site_fract_z
Li1 Li 0.0000 0.0000 0.0000
Ca1 Ca 0.0000 0.0000 0.6556
Ca2 Ca 0.5000 0.5000 0.2483
Ir1 Ir 0.5000 0.5000 0.8802
```

Properties
theoretical density = 4.92 g/cm3
distance to the lowest polymorph of the same formula = 0.171 eV per atom
D(E_F) = 0.373 states/eV per atom

---

The following is a PBE calculation of crystalline ZrTl2Se2 at its relaxed geometry, from Alexandria.

Structure (CIF):
```
data_ZrTl2Se2
_chemical_formula_sum 'Zr2 Tl4 Se4'
_symmetry_space_group_name_H-M 'P 4/m b m'
_symmetry_Int_Tables_number 127
_symmetry_space_group_name_Hall '-P 4 2ab'
_cell_length_a 7.1944
_cell_length_b 7.1944
_cell_length_c 5.3788
_cell_angle_alpha 90.00
_cell_angle_beta 90.00
_cell_angle_gamma 90.00
loop_
_atom_site_label
_atom_site_type_symbol
_atom_site_fract_x
_atom_site_fract_y
_atom_site_fract_z
Zr1 Zr 0.0000 0.0000 0.0000
Tl1 Tl 0.1654 0.3346 0.5000
Se1 Se 0.1701 0.6701 0.0000
```

Properties
theoretical density = 7.85 g/cm3
distance to the lowest polymorph of the same formula = 0.000 eV per atom
ΔE_f (raw) = -462 meV/atom
D(E_F) = 0.354 states/eV per atom

---

The following is a PBE calculation of crystalline Ba2AcGe6 at its relaxed geometry, from Alexandria.

Structure (CIF):
```
data_Ba2AcGe6
_chemical_formula_sum 'Ba4 Ac2 Ge12'
_symmetry_space_group_name_H-M 'I m m m'
_symmetry_Int_Tables_number 71
_symmetry_space_group_name_Hall '-I 2 2'
_cell_length_a 4.1647
_cell_length_b 9.7163
_cell_length_c 13.0110
_cell_angle_alpha 90.00
_cell_angle_beta 90.00
_cell_angle_gamma 90.00
loop_
_atom_site_label
_atom_site_type_symbol
_atom_site_fract_x
_atom_site_fract_y
_atom_site_fract_z
Ba1 Ba 0.0000 0.0000 0.1318
Ac1 Ac 0.0000 0.5000 0.0000
Ge1 Ge 0.0000 0.2052 0.3181
Ge2 Ge 0.0000 0.2840 0.5000
```

Properties
theoretical density = 5.91 g/cm3
distance to the lowest polymorph of the same formula = 0.213 eV per atom
D(E_F) = 0.545 states/eV per atom

---

The following is a PBE calculation of crystalline KRb2Zn2 at its relaxed geometry, from Alexandria.

Structure (CIF):
```
data_KRb2Zn2
_chemical_formula_sum 'K2 Rb4 Zn4'
_symmetry_space_group_name_H-M 'I 4/m m m'
_symmetry_Int_Tables_number 139
_symmetry_space_group_name_Hall '-I 4 2'
_cell_length_a 5.8676
_cell_length_b 5.8676
_cell_length_c 14.2952
_cell_angle_alpha 90.00
_cell_angle_beta 90.00
_cell_angle_gamma 90.00
loop_
_atom_site_label
_atom_site_type_symbol
_atom_site_fract_x
_atom_site_fract_y
_atom_site_fract_z
K1 K 0.0000 0.0000 0.0000
Rb1 Rb 0.0000 0.5000 0.2500
Zn1 Zn 0.0000 0.0000 0.4115
```

Properties
theoretical density = 2.30 g/cm3
distance to the lowest polymorph of the same formula = 0.062 eV per atom
D(E_F) = 1.179 states/eV per atom

---

The following is a PBE calculation of crystalline TiTlBi2 at its relaxed geometry, from Alexandria.

Structure (CIF):
```
data_TiTlBi2
_chemical_formula_sum 'Ti4 Tl4 Bi8'
_symmetry_space_group_name_H-M 'F m -3 m'
_symmetry_Int_Tables_number 225
_symmetry_space_group_name_Hall '-F 4 2 3'
_cell_length_a 7.5748
_cell_length_b 7.5748
_cell_length_c 7.5748
_cell_angle_alpha 90.00
_cell_angle_beta 90.00
_cell_angle_gamma 90.00
loop_
_atom_site_label
_atom_site_type_symbol
_atom_site_fract_x
_atom_site_fract_y
_atom_site_fract_z
Ti1 Ti 0.0000 0.0000 0.0000
Tl1 Tl 0.0000 0.0000 0.5000
Bi1 Bi 0.2500 0.2500 0.2500
```

Properties
theoretical density = 10.24 g/cm3
distance to the lowest polymorph of the same formula = 0.313 eV per atom
D(E_F) = 0.981 states/eV per atom